Entry from the Alexandria database: a crystal of LaMg2Mn relaxed with PBEsol (meta-GGA SCAN).

```
LaMg2Mn
1.0
-1.592 2.483 5.696
1.592 -2.483 5.696
1.592 2.483 -5.696
La Mg Mn
1 2 1
Direct
0.000 0.000 0.000
0.292 0.792 0.500
0.708 0.208 0.500
0.500 0.500 0.000
```

## Properties
The value obtained for the density is 4472 kg/m³. As for the space group: Immm, No. 71. As for the formation energy: 0.02 eV per atom.